LuCo2Sn | GGA-PBE | relaxed

## Properties
ρ, Mg/m³: 10.63
DFT formation energy, eV/atom: -0.2287
V, Å³/cell: 64.27
Space-group type: P4/mmm, No. 123

The structure in CIF format:
```
data_LuCo2Sn
_chemical_formula_sum 'Lu1 Co2 Sn1'
_space_group_name_H-M_alt 'P 1'
_space_group_IT_number 1
_cell_length_a 3.310
_cell_length_b 4.406
_cell_length_c 4.406
_cell_angle_alpha 90.00
_cell_angle_beta 90.00
_cell_angle_gamma 90.00
loop_
_space_group_symop_operation_xyz
'x,y,z'
loop_
_atom_site_label
_atom_site_type_symbol
_atom_site_fract_x
_atom_site_fract_y
_atom_site_fract_z
Co1 Co 0.000 0.500 0.000
Co2 Co 0.000 0.000 0.500
Lu1 Lu 0.500 0.000 0.000
Sn1 Sn 0.500 0.500 0.500
```

***

SiPdNO2 | GGA-PBE | relaxed

## Properties
Raw formation energy, eV per formula unit: -2.5
ρ, Mg/m³: 6.39
V, Å³/cell: 46.88
Space-group type: P4/mmm, No. 123

The structure in CIF format:
```
data_SiPdNO2
_chemical_formula_sum 'Si1 Pd1 N1 O2'
_space_group_name_H-M_alt 'P 1'
_space_group_IT_number 1
_cell_length_a 3.459
_cell_length_b 3.459
_cell_length_c 3.918
_cell_angle_alpha 90.00
_cell_angle_beta 90.00
_cell_angle_gamma 90.00
loop_
_space_group_symop_operation_xyz
'x,y,z'
loop_
_atom_site_label
_atom_site_type_symbol
_atom_site_fract_x
_atom_site_fract_y
_atom_site_fract_z
O1 O 0.500 0.000 0.000
O2 O 0.000 0.500 0.000
Si1 Si 0.000 0.000 0.000
N1 N 0.000 0.000 0.500
Pd1 Pd 0.500 0.500 0.500
```

***

LiDyThTl | GGA-PBE | relaxed

## Properties
ρ, Mg/m³: 9.26
DFT formation energy, eV/atom: -0.0325
V, Å³/cell: 108.61
Space-group type: F-43m, No. 216

The structure in CIF format:
```
data_LiDyThTl
_chemical_formula_sum 'Li1 Dy1 Th1 Tl1'
_space_group_name_H-M_alt 'P 1'
_space_group_IT_number 1
_cell_length_a 5.355
_cell_length_b 5.355
_cell_length_c 5.355
_cell_angle_alpha 60.00
_cell_angle_beta 60.00
_cell_angle_gamma 60.00
loop_
_space_group_symop_operation_xyz
'x,y,z'
loop_
_atom_site_label
_atom_site_type_symbol
_atom_site_fract_x
_atom_site_fract_y
_atom_site_fract_z
Li1 Li 0.000 0.000 0.000
Dy1 Dy 0.750 0.750 0.750
Th1 Th 0.250 0.250 0.250
Tl1 Tl 0.500 0.500 0.500
```

***

Ac6Ru2Au | GGA-PBE | relaxed

## Properties
ρ, Mg/m³: 8.33
DFT formation energy, eV/atom: -0.2960
V, Å³/cell: 351.26
Space-group type: P-31m, No. 162

The structure in CIF format:
```
data_Ac6Ru2Au
_chemical_formula_sum 'Ac6 Ru2 Au1'
_space_group_name_H-M_alt 'P 1'
_space_group_IT_number 1
_cell_length_a 6.950
_cell_length_b 7.639
_cell_length_c 7.639
_cell_angle_alpha 120.00
_cell_angle_beta 90.00
_cell_angle_gamma 90.00
loop_
_space_group_symop_operation_xyz
'x,y,z'
loop_
_atom_site_label
_atom_site_type_symbol
_atom_site_fract_x
_atom_site_fract_y
_atom_site_fract_z
Ac1 Ac 0.730 0.645 0.645
Ac2 Ac 0.270 0.000 0.645
Ac3 Ac 0.730 0.355 0.000
Ac4 Ac 0.270 0.645 0.000
Ac5 Ac 0.270 0.355 0.355
Ac6 Ac 0.730 0.000 0.355
Au1 Au 0.500 0.000 0.000
Ru1 Ru 0.500 0.333 0.667
Ru2 Ru 0.500 0.667 0.333
```

***

Pr6GeTe4 | GGA-PBE | relaxed

## Properties
Raw formation energy, eV per formula unit: -12.3
ρ, Mg/m³: 7.06
V, Å³/cell: 672.28
Space-group type: P4/mnc, No. 128

The structure in CIF format:
```
data_Pr6GeTe4
_chemical_formula_sum 'Pr12 Ge2 Te8'
_space_group_name_H-M_alt 'P 1'
_space_group_IT_number 1
_cell_length_a 8.583
_cell_length_b 8.583
_cell_length_c 9.127
_cell_angle_alpha 90.00
_cell_angle_beta 90.00
_cell_angle_gamma 90.00
loop_
_space_group_symop_operation_xyz
'x,y,z'
loop_
_atom_site_label
_atom_site_type_symbol
_atom_site_fract_x
_atom_site_fract_y
_atom_site_fract_z
Pr1 Pr 0.000 0.000 0.190
Pr2 Pr 0.000 0.000 0.810
Pr3 Pr 0.821 0.638 0.000
Pr4 Pr 0.362 0.821 0.000
Pr5 Pr 0.500 0.500 0.310
Pr6 Pr 0.321 0.862 0.500
Pr7 Pr 0.138 0.321 0.500
Pr8 Pr 0.179 0.362 0.000
Pr9 Pr 0.500 0.500 0.690
Pr10 Pr 0.679 0.138 0.500
Pr11 Pr 0.862 0.679 0.500
Pr12 Pr 0.638 0.179 0.000
Te1 Te 0.146 0.646 0.250
Te2 Te 0.854 0.354 0.250
Te3 Te 0.354 0.146 0.750
Te4 Te 0.854 0.354 0.750
Te5 Te 0.646 0.854 0.250
Te6 Te 0.646 0.854 0.750
Te7 Te 0.146 0.646 0.750
Te8 Te 0.354 0.146 0.250
Ge1 Ge 0.500 0.500 0.000
Ge2 Ge 0.000 0.000 0.500
```

***

ZnAs2IrRh | GGA-PBE | relaxed

## Properties
ρ, Mg/m³: 7.61
DFT formation energy, eV/atom: 0.7872
V, Å³/cell: 111.37
Space-group type: P4/mmm, No. 123

The structure in CIF format:
```
data_ZnAs2IrRh
_chemical_formula_sum 'Zn1 As2 Ir1 Rh1'
_space_group_name_H-M_alt 'P 1'
_space_group_IT_number 1
_cell_length_a 4.650
_cell_length_b 5.151
_cell_length_c 4.650
_cell_angle_alpha 90.00
_cell_angle_beta 90.00
_cell_angle_gamma 90.00
loop_
_space_group_symop_operation_xyz
'x,y,z'
loop_
_atom_site_label
_atom_site_type_symbol
_atom_site_fract_x
_atom_site_fract_y
_atom_site_fract_z
Ir1 Ir 0.000 0.000 0.000
As1 As 0.000 0.000 0.500
As2 As 0.500 0.000 0.000
Rh1 Rh 0.000 0.500 0.000
Zn1 Zn 0.500 0.500 0.500
```

***

What is the ρ in the sixth record?
7.61 Mg/m³